Entry 1:
The following is a PBE calculation of an optimized crystal structure of MgCdTe2, from Alexandria.

abc: 8.0360 4.6430 7.5765
angles: 90.00 90.01 90.00
With the nearest neighbours (Å) after each atom.
Atoms (fractional coordinates):
Mg 0.0000 0.0000 0.0000  4 Te 2.82-2.83
Mg 0.5000 0.5000 0.0000  4 Te 2.82-2.83
Cd 0.3323 0.0000 0.4951  4 Te 2.86-2.87
Cd 0.8323 0.5000 0.4951  4 Te 2.86-2.87
Te 0.3334 0.0000 0.1168  3 Mg 2.82, 1 Cd 2.87
Te 0.4990 0.5000 0.6268  1 Mg 2.83, 3 Cd 2.86
Te 0.8334 0.5000 0.1168  3 Mg 2.82, 1 Cd 2.87
Te 0.9990 0.0000 0.6268  1 Mg 2.83, 3 Cd 2.86

Values from the calculation:
Space group ... No. 8
Uncorrected formation energy ... -0.67 eV per atom
Calculated total energy ... -2.86 eV per atom

=====

Entry 2:
The following is a PBE calculation of an optimized crystal structure of Mg4CdTe5, from Alexandria.

abc: 4.6217 4.6217 37.6654
angles: 90.00 90.00 120.00
With the nearest neighbours (Å) after each atom.
Atoms (fractional coordinates):
Mg 0.0000 0.0000 0.0000  4 Te 2.82-2.83
Mg 0.0000 0.0000 0.1984  4 Te 2.82
Mg 0.0000 0.0000 0.3973  4 Te 2.82-2.83
Mg 0.0000 0.0000 0.5994  4 Te 2.82-2.83
Mg 0.0000 0.0000 0.8013  4 Te 2.82-2.83
Mg 0.6667 0.3333 0.0991  4 Te 2.82
Mg 0.6667 0.3333 0.2978  4 Te 2.82
Mg 0.6667 0.3333 0.9006  4 Te 2.82
Cd 0.6667 0.3333 0.4974  4 Te 2.85-2.87
Cd 0.6667 0.3333 0.6994  4 Te 2.85-2.87
Te 0.0000 0.0000 0.1235  4 Mg 2.82
Te 0.0000 0.0000 0.3223  4 Mg 2.82-2.83
Te 0.0000 0.0000 0.5243  1 Mg 2.83, 3 Cd 2.85
Te 0.0000 0.0000 0.7262  1 Mg 2.83, 3 Cd 2.85
Te 0.0000 0.0000 0.9250  4 Mg 2.82-2.83
Te 0.6667 0.3333 0.0242  4 Mg 2.82
Te 0.6667 0.3333 0.2228  4 Mg 2.82
Te 0.6667 0.3333 0.4213  3 Mg 2.82, 1 Cd 2.87
Te 0.6667 0.3333 0.6233  3 Mg 2.82, 1 Cd 2.87
Te 0.6667 0.3333 0.8256  4 Mg 2.82

Values from the calculation:
Space group ... No. 156
Uncorrected formation energy ... -0.79 eV per atom
Calculated total energy ... -3.09 eV per atom

=====

Entry 3:
The following is a PBE calculation of an optimized crystal structure of MgCd2Te, from Alexandria.

abc: 4.3990 4.3990 19.7934
angles: 90.00 90.00 120.00
With the nearest neighbours (Å) after each atom.
Atoms (fractional coordinates):
Mg 0.0000 0.0000 0.0000  6 Cd 2.99
Mg 0.3333 0.6667 0.6667  6 Cd 2.99
Mg 0.6667 0.3333 0.3333  6 Cd 2.99
Cd 0.0000 0.0000 0.2536  3 Mg 2.99, 3 Te 3.07
Cd 0.0000 0.0000 0.7464  3 Mg 2.99, 3 Te 3.07
Cd 0.3333 0.6667 0.4131  3 Mg 2.99, 3 Te 3.07
Cd 0.3333 0.6667 0.9202  3 Mg 2.99, 3 Te 3.07
Cd 0.6667 0.3333 0.0798  3 Mg 2.99, 3 Te 3.07
Cd 0.6667 0.3333 0.5869  3 Mg 2.99, 3 Te 3.07
Te 0.0000 0.0000 0.5000  6 Cd 3.07
Te 0.3333 0.6667 0.1667  6 Cd 3.07
Te 0.6667 0.3333 0.8333  6 Cd 3.07

Values from the calculation:
Relative energy among the computed polymorphs ... 160 meV per atom
Space group ... No. 166
Uncorrected formation energy ... -0.05 eV per atom
Calculated total energy ... -1.69 eV per atom

=====

Entry 4:
The following is a PBE calculation of an optimized crystal structure of MgCd2Te, from Alexandria.

abc: 3.3777 3.3777 8.8417
angles: 90.00 90.00 90.00
With the nearest neighbours (Å) after each atom.
Atoms (fractional coordinates):
Mg 0.0000 0.0000 0.0000  4 Te 3.11, 4 Cd 3.11, 4 Mg 3.38
Cd 0.0000 0.0000 0.5436  8 Cd 3.14-3.38
Cd 0.5000 0.5000 0.7743  4 Mg 3.11, 8 Cd 3.14-3.38
Te 0.5000 0.5000 0.2256  4 Mg 3.11, 4 Te 3.38

Values from the calculation:
Relative energy among the computed polymorphs ... 160 meV per atom
Space group ... No. 99
Uncorrected formation energy ... -0.05 eV per atom
Calculated total energy ... -1.69 eV per atom